(1)
The following is a DFT calculation (PBE-GGA) of a geometry-optimized FeC3N3 structure.

Results
E_form (uncorrected)   2.3 eV per formula unit
Space group   Fm-3m
Uncorrected energy   -8.402 eV/atom

a b c (Å): 6.998 6.998 6.998
angles (deg): 60.00 60.00 60.00
Sites, in units of the cell vectors:
Fe1 0.000 0.000 0.000
Fe2 0.500 0.500 0.500
C1 0.191 0.191 0.809
C2 0.191 0.809 0.191
C3 0.191 0.809 0.809
C4 0.809 0.191 0.191
C5 0.809 0.191 0.809
C6 0.809 0.809 0.191
N1 0.309 0.309 0.691
N2 0.309 0.691 0.309
N3 0.309 0.691 0.691
N4 0.691 0.309 0.309
N5 0.691 0.309 0.691
N6 0.691 0.691 0.309

=====

(2)
The following is a DFT calculation (PBE-GGA) of a geometry-optimized ReRh structure.

Results
Space group   P6_3/mmc
Calculated formation energy   37.62 kJ per mole of atoms
Uncorrected energy   -9.510 eV/atom
Polymorph energy (0 for the lowest one)   567 meV per atom

a b c (Å): 4.314 4.314 7.902
angles (deg): 90.00 90.00 120.00
Sites, in units of the cell vectors:
Re1 0.000 0.000 0.250
Re2 0.000 0.000 0.750
Re3 0.333 0.667 0.250
Re4 0.667 0.333 0.750
Rh1 0.333 0.667 0.581
Rh2 0.333 0.667 0.919
Rh3 0.667 0.333 0.081
Rh4 0.667 0.333 0.419

=====

(3)
The following is a DFT calculation (PBE-GGA) of a geometry-optimized TiGaP3 structure.

Results
Space group   Pm-3m
Calculated formation energy   20.87 kJ per mole of atoms
Uncorrected energy   -5.214 eV/atom
Polymorph energy (0 for the lowest one)   0 meV per atom

a b c (Å): 4.718 4.718 4.718
angles (deg): 90.00 90.00 90.00
Sites, in units of the cell vectors:
Ti1 0.000 0.000 0.000
Ga1 0.500 0.500 0.500
P1 0.000 0.000 0.500
P2 0.000 0.500 0.000
P3 0.500 0.000 0.000

=====

(4)
The following is a DFT calculation (PBE-GGA) of a geometry-optimized LaGaCo3 structure.

Results
Space group   Pm-3m
Calculated formation energy   29.53 kJ per mole of atoms
Uncorrected energy   -5.548 eV/atom
Polymorph energy (0 for the lowest one)   0 meV per atom

a b c (Å): 4.437 4.437 4.437
angles (deg): 90.00 90.00 90.00
Sites, in units of the cell vectors:
La1 0.000 0.000 0.000
Ga1 0.500 0.500 0.500
Co1 0.000 0.500 0.500
Co2 0.500 0.000 0.500
Co3 0.500 0.500 0.000

=====

DOS at the Fermi energy for every record listed, in sequence, given in states/eV per cell: 7.047 8.064 4.185 3.754.